VASP calculation (PBE) on a relaxed PRu2Au crystal.

Computed properties:
VASP energy: -26.574 eV/f.u.
M_tot: 0.0000 μB per atom
energy relative to the elements: 0.166 eV/atom

a = 2.8290 Å, b = 2.8290 Å, c = 26.2258 Å
α = 90.00°, β = 90.00°, γ = 120.00°
Space group R3m (No. 160, hexagonal axes)
Asymmetric unit:
1 P 0.0000 0.0000 0.0000 x3
2 Ru 0.0000 0.0000 0.2682 x3
3 Ru 0.0000 0.0000 0.5187 x3
4 Au 0.0000 0.0000 0.7610 x3